KYSn | GGA-PBE | optimized geometry

The structure in extended XYZ format:
```
6
Lattice="5.2693 0.0000 0.0000 -2.6347 4.5634 0.0000 0.0000 0.0000 9.0725" Properties=species:S:1:pos:R:3 pbc="T T T"
K 0.0000 0.0000 0.0000
K 0.0000 3.0423 1.9655
Y 0.0000 3.0423 6.3607
Y 2.6347 1.5211 4.4722
Sn 0.0000 0.0000 4.2510
Sn 2.6347 1.5211 7.4959
```

Calculated values
symmetry: P3m1
VASP energy: -4.15 eV/atom


CuNi8 | GGA-PBE | optimized geometry

The structure in extended XYZ format:
```
9
Lattice="-3.7410 3.7410 1.7633 3.7410 -3.7410 1.7633 3.7410 3.7410 -1.7633" Properties=species:S:1:pos:R:3 pbc="T T T"
Cu 0.0000 0.0000 0.0000
Ni 2.5043 0.0000 0.0000
Ni 4.9777 0.0000 0.0000
Ni 2.4817 2.4817 0.0000
Ni 1.2594 -1.2594 1.7633
Ni 0.0000 2.5043 0.0000
Ni 0.0000 4.9777 0.0000
Ni -1.2594 1.2594 1.7633
Ni 1.2594 1.2594 1.7633
```

Calculated values
symmetry: I4/mmm
VASP energy: -5.57 eV/atom


LiTa4Pt | GGA-PBE | optimized geometry

The structure in extended XYZ format:
```
6
Lattice="0.0000 3.8108 3.8108 3.8108 0.0000 3.8108 3.8108 3.8108 0.0000" Properties=species:S:1:pos:R:3 pbc="T T T"
Li 0.0000 0.0000 0.0000
Ta 2.8516 2.8516 2.8516
Ta 4.7701 4.7701 2.8516
Ta 4.7701 2.8516 4.7701
Ta 2.8516 4.7701 4.7701
Pt 5.7162 5.7162 5.7162
```

Calculated values
symmetry: F-43m
VASP energy: -8.87 eV/atom


La9YTm4 | GGA-PBE | optimized geometry

The structure in extended XYZ format:
```
28
Lattice="10.0244 0.0000 0.0000 -5.0122 8.6814 0.0000 0.0000 0.0000 11.4963" Properties=species:S:1:pos:R:3 pbc="T T T"
La -1.9099 4.6849 2.8741
La 0.0000 3.5836 6.0679
La 0.0000 3.5836 11.1766
La -1.9087 6.8896 6.0679
La -1.9087 6.8896 11.1766
La 3.1035 1.7918 0.3197
La 3.1035 1.7918 5.4285
La 1.9099 4.6849 2.8741
La 0.0000 7.9929 2.8741
La 5.0122 0.6885 8.6222
La 3.1023 3.9964 8.6222
La 1.9087 6.8896 6.0679
La 1.9087 6.8896 11.1766
La 6.9209 1.7918 0.3197
La 6.9209 1.7918 5.4285
La 5.0122 5.0978 0.3197
La 5.0122 5.0978 5.4285
La 6.9220 3.9964 8.6222
Y 0.0000 5.7876 8.6222
Y 5.0122 2.8938 2.8741
Tm 0.0000 0.0000 0.0000
Tm 0.0000 0.0000 5.7482
Tm 0.0000 1.8880 2.8741
Tm -3.3771 7.7373 2.8741
Tm 1.6351 0.9440 8.6222
Tm 3.3771 7.7373 2.8741
Tm 8.3893 0.9440 8.6222
Tm 5.0122 6.7933 8.6222
```

Calculated values
symmetry: P6_3/mmc
VASP energy: -4.76 eV/atom


GaHI | GGA-PBE | optimized geometry

The structure in extended XYZ format:
```
6
Lattice="4.1390 0.0000 0.0000 -0.0049 4.7027 0.0000 -0.2896 -0.0073 12.0479" Properties=species:S:1:pos:R:3 pbc="T T T"
Ga 0.0000 0.0000 0.0000
Ga -0.0045 2.3513 0.8752
H 1.8504 4.6900 5.2261
H 1.8383 2.3340 7.7197
I 1.7739 4.6735 10.1719
I 2.0659 2.3291 2.7492
```

Calculated values
symmetry: P1
VASP energy: -2.14 eV/atom


K2Si2Au5 | GGA-PBE | optimized geometry

The structure in extended XYZ format:
```
9
Lattice="6.4037 -2.2785 0.0000 6.4037 2.2785 0.0000 -1.3320 0.0000 9.0502" Properties=species:S:1:pos:R:3 pbc="T T T"
K 0.8749 0.0000 2.5656
K 10.6004 0.0000 6.4846
Si 4.3691 0.0000 1.2893
Si 7.1062 0.0000 7.7609
Au 1.3854 0.0000 8.3173
Au 4.7704 0.0000 3.6101
Au 6.4037 0.0000 0.0000
Au 6.7049 0.0000 5.4401
Au 10.0899 0.0000 0.7329
```

Calculated values
symmetry: C2/m
formation energy without anion corrections: -1.9 eV per formula unit